Record 1
The following is a DFT calculation (PBE) of GePtS3 after structural relaxation.

```
GePtS3
1.0
4.722 0.000 0.000
0.000 4.722 0.000
0.000 0.000 4.722
S Ge Pt
3 1 1
Direct
0.000 0.000 0.500
0.500 0.000 0.000
0.000 0.500 0.000
0.500 0.500 0.500
0.000 0.000 0.000
```

ΔE_f (raw) = 239 kJ/mol of formula units
spin magnetization = 0.00 μB per formula unit
electronic total energy = -4.11 eV per atom


Record 2
The following is a DFT calculation (PBE) of Ge2PtS after structural relaxation.

```
Ge2PtS
1.0
3.858 0.000 0.000
1.929 3.341 0.000
1.929 1.114 6.927
Ge S Pt
2 1 1
Direct
0.107 0.107 0.680
0.893 0.893 0.320
0.000 0.000 0.000
0.500 0.500 0.500
```

ΔE_f (raw) = -68 kJ/mol of formula units
spin magnetization = 0.00 μB per formula unit
electronic total energy = -5.03 eV per atom